Below is a relaxed structure of Rb2HfBrF6, with properties calculated at the PBE-GGA level.

ρ: 3.7 Mg/m³
Energy relative to the elements, uncorrected: -2.895 eV per atom
Total moment: 0.100 μB per atom
Total energy: -53.739 eV/cell

Cell: 6.869 6.869 7.070 Å, 60.94 60.94 90.00°
Site moments in Bohr magnetons follow the coordinates.
Sites, in units of the cell vectors:
Hf 0.000 0.000 0.000  0.01
Br 0.500 0.500 0.000  0.62
Rb 0.750 0.250 0.500  0.00
Rb 0.250 0.750 0.500  0.00
F 0.195 0.195 0.610  0.00
F 0.805 0.805 0.390  0.00
F 0.206 0.206 0.000  0.03
F 0.794 0.794 0.000  0.03
F 0.794 0.206 0.000  0.03
F 0.206 0.794 0.000  0.03


Below is a relaxed structure of HfSbBr2F, with properties calculated at the PBE-GGA level.

ρ: 6.6 Mg/m³
Energy relative to the elements, uncorrected: -0.809 eV per atom
Total moment: 0.051 μB per atom
Total energy: -23.338 eV/cell

Cell: 5.391 4.153 5.391 Å, 90.00 90.00 90.00°
Site moments in Bohr magnetons follow the coordinates.
Sites, in units of the cell vectors:
Sb 0.500 0.500 0.500  0.01
Hf 0.000 0.000 0.000  0.16
Br 0.000 0.000 0.500  0.00
Br 0.500 0.000 0.000  0.00
F 0.000 0.500 0.000  0.00


Below is a relaxed structure of HfSe2BrF, with properties calculated at the PBE-GGA level.

ρ: 7.1 Mg/m³
Energy relative to the elements, uncorrected: 0.091 eV per atom
Total moment: 0.038 μB per atom
Energy above the lowest structure with this stoichiometry: 700.6 meV per atom
Total energy: -20.013 eV/cell

Cell: 4.413 4.413 5.251 Å, 90.00 90.00 90.00°
Site moments in Bohr magnetons follow the coordinates.
Sites, in units of the cell vectors:
Hf 0.500 0.500 0.500  0.16
Se 0.000 0.500 0.000  -0.01
Se 0.500 0.000 0.000  -0.01
Br 0.000 0.000 0.500  -0.01
F 0.000 0.000 0.000  0.00


Below is a relaxed structure of HfSe2BrF, with properties calculated at the PBE-GGA level.

ρ: 5.2 Mg/m³
Energy relative to the elements, uncorrected: -0.610 eV per atom
Total moment: 0.294 μB per atom
Energy above the lowest structure with this stoichiometry: 0.0 meV per atom
Total energy: -23.516 eV/cell

Cell: 5.152 5.152 5.218 Å, 90.00 90.00 90.00°
Site moments in Bohr magnetons follow the coordinates.
Sites, in units of the cell vectors:
Hf 0.000 0.000 0.000  0.05
Se 0.000 0.500 0.000  -0.31
Se 0.500 0.000 0.000  -0.31
Br 0.000 0.000 0.500  -0.10
F 0.500 0.500 0.500  -0.40